# 1
# CdTe2ICl

CdTe2ICl after structural relaxation (GGA-PBE, Alexandria).

Computed properties:
crystal system = tetragonal
formation energy (no corrections) = 0.57 eV/atom
symmetry = No. 123

a = 5.5373 Å, b = 5.5373 Å, c = 5.6127 Å
α = 90.00°, β = 90.00°, γ = 90.00°
Element x y z (fractional)
Cd: 0.0000 0.0000 0.0000
Te: 0.0000 0.5000 0.5000
Te: 0.5000 0.0000 0.5000
I: 0.5000 0.5000 0.0000
Cl: 0.5000 0.5000 0.5000



# 2
# SmReB

SmReB after structural relaxation (GGA-PBE, Alexandria).

Computed properties:
crystal system = tetragonal
energy relative to the elements = -0.0779 eV per atom
symmetry = No. 139

a = 8.1142 Å, b = 8.1142 Å, c = 8.1142 Å
α = 153.50°, β = 153.50°, γ = 37.82°
Element x y z (fractional)
Sm: 0.1642 0.1642 0.0000
Sm: 0.8358 0.8358 0.0000
Re: 0.0000 0.5000 0.5000
Re: 0.5000 0.0000 0.5000
B: 0.4047 0.4047 0.0000
B: 0.5953 0.5953 0.0000



DOS(E_F) readings, ordered: 5.1, 2.5 states/eV/f.u.